(1)
Computed, not measured: an optimized crystal structure of MgInC3 at the PBE-GGA level of DFT.

The calculation puts the energy above the lowest structure with this stoichiometry at 0.000 eV/atom.

Cell and atoms, written as CIF:
```
data_MgInC3
_chemical_formula_sum 'Mg1 In1 C3'
_symmetry_space_group_name_H-M 'P m -3 m'
_symmetry_Int_Tables_number 221
_symmetry_space_group_name_Hall '-P 4 2 3'
_cell_length_a 4.1650
_cell_length_b 4.1650
_cell_length_c 4.1650
_cell_angle_alpha 90.00
_cell_angle_beta 90.00
_cell_angle_gamma 90.00
loop_
_atom_site_label
_atom_site_fract_x
_atom_site_fract_y
_atom_site_fract_z
Mg1 0.0000 0.0000 0.0000
In1 0.5000 0.5000 0.5000
C1 0.0000 0.0000 0.5000
```


(2)
Computed, not measured: an optimized crystal structure of RbHg2GeTe at the PBE-GGA level of DFT.

The value obtained for the formation energy from raw total energies is -1.1 eV/f.u.

Cell and atoms, written as CIF:
```
data_RbHg2GeTe
_chemical_formula_sum 'Rb1 Hg2 Ge1 Te1'
_symmetry_space_group_name_H-M 'P 4/m m m'
_symmetry_Int_Tables_number 123
_symmetry_space_group_name_Hall '-P 4 2'
_cell_length_a 5.5223
_cell_length_b 5.5223
_cell_length_c 5.8302
_cell_angle_alpha 90.00
_cell_angle_beta 90.00
_cell_angle_gamma 90.00
loop_
_atom_site_label
_atom_site_fract_x
_atom_site_fract_y
_atom_site_fract_z
Rb1 0.0000 0.0000 0.0000
Hg1 0.0000 0.5000 0.5000
Ge1 0.5000 0.5000 0.5000
Te1 0.5000 0.5000 0.0000
```


(3)
Computed, not measured: an optimized crystal structure of Mg4Tl15Pb at the PBE-GGA level of DFT.

The final energy is -2.25 eV/atom.

Cell and atoms, written as CIF:
```
data_Mg4Tl15Pb
_chemical_formula_sum 'Mg4 Tl15 Pb1'
_symmetry_space_group_name_H-M 'P 4/m m m'
_symmetry_Int_Tables_number 123
_symmetry_space_group_name_Hall '-P 4 2'
_cell_length_a 4.9141
_cell_length_b 4.9141
_cell_length_c 23.6276
_cell_angle_alpha 90.00
_cell_angle_beta 90.00
_cell_angle_gamma 90.00
loop_
_atom_site_label
_atom_site_fract_x
_atom_site_fract_y
_atom_site_fract_z
Mg1 0.0000 0.0000 0.1001
Mg2 0.0000 0.0000 0.2959
Tl1 0.0000 0.5000 0.0000
Tl2 0.0000 0.5000 0.1975
Tl3 0.0000 0.5000 0.3952
Tl4 0.5000 0.5000 0.0989
Tl5 0.5000 0.5000 0.2960
Tl6 0.5000 0.5000 0.5000
Pb1 0.0000 0.0000 0.5000
```


(4)
Computed, not measured: an optimized crystal structure of InMoP2 at the PBE-GGA level of DFT.

The final energy is -5.67 eV/atom.

Cell and atoms, written as CIF:
```
data_InMoP2
_chemical_formula_sum 'In1 Mo1 P2'
_symmetry_space_group_name_H-M 'P 4/m m m'
_symmetry_Int_Tables_number 123
_symmetry_space_group_name_Hall '-P 4 2'
_cell_length_a 4.4770
_cell_length_b 4.4770
_cell_length_c 3.2410
_cell_angle_alpha 90.00
_cell_angle_beta 90.00
_cell_angle_gamma 90.00
loop_
_atom_site_label
_atom_site_fract_x
_atom_site_fract_y
_atom_site_fract_z
In1 0.0000 0.0000 0.0000
Mo1 0.5000 0.5000 0.0000
P1 0.0000 0.5000 0.5000
```


(5)
Computed, not measured: an optimized crystal structure of Tb2TlIr at the PBE-GGA level of DFT.

The calculation puts the energy above the lowest structure with this stoichiometry at 0.125 eV/atom.

Cell and atoms, written as CIF:
```
data_Tb2TlIr
_chemical_formula_sum 'Tb8 Tl4 Ir4'
_symmetry_space_group_name_H-M 'F m -3 m'
_symmetry_Int_Tables_number 225
_symmetry_space_group_name_Hall '-F 4 2 3'
_cell_length_a 7.2402
_cell_length_b 7.2402
_cell_length_c 7.2402
_cell_angle_alpha 90.00
_cell_angle_beta 90.00
_cell_angle_gamma 90.00
loop_
_atom_site_label
_atom_site_fract_x
_atom_site_fract_y
_atom_site_fract_z
Tb1 0.2500 0.2500 0.2500
Tl1 0.0000 0.0000 0.0000
Ir1 0.0000 0.0000 0.5000
```


(6)
Computed, not measured: an optimized crystal structure of TiTcP at the PBE-GGA level of DFT.

The calculation puts the energy above the lowest structure with this stoichiometry at 0.231 eV/atom.

Cell and atoms, written as CIF:
```
data_TiTcP
_chemical_formula_sum 'Ti4 Tc4 P4'
_symmetry_space_group_name_H-M 'I m m 2'
_symmetry_Int_Tables_number 44
_symmetry_space_group_name_Hall 'I 2 -2'
_cell_length_a 3.1987
_cell_length_b 4.0139
_cell_length_c 13.1582
_cell_angle_alpha 90.00
_cell_angle_beta 90.00
_cell_angle_gamma 90.00
loop_
_atom_site_label
_atom_site_fract_x
_atom_site_fract_y
_atom_site_fract_z
Ti1 0.0000 0.0000 0.0000
Ti2 0.0000 0.5000 0.3207
Tc1 0.0000 0.0000 0.6484
Tc2 0.0000 0.5000 0.8196
P1 0.0000 0.0000 0.1780
P2 0.0000 0.0000 0.4646
```


(7)
Computed, not measured: an optimized crystal structure of SbIr4Cl at the PBE-GGA level of DFT.

The value obtained for the formation energy from raw total energies is 4.9 eV/f.u.

Cell and atoms, written as CIF:
```
data_SbIr4Cl
_chemical_formula_sum 'Sb4 Ir16 Cl4'
_symmetry_space_group_name_H-M 'F -4 3 m'
_symmetry_Int_Tables_number 216
_symmetry_space_group_name_Hall 'F -4 2 3'
_cell_length_a 7.5578
_cell_length_b 7.5578
_cell_length_c 7.5578
_cell_angle_alpha 90.00
_cell_angle_beta 90.00
_cell_angle_gamma 90.00
loop_
_atom_site_label
_atom_site_fract_x
_atom_site_fract_y
_atom_site_fract_z
Sb1 0.0000 0.0000 0.0000
Ir1 0.1253 0.1253 0.3747
Cl1 0.2500 0.2500 0.7500
```


(8)
Computed, not measured: an optimized crystal structure of TaBeTe2 at the PBE-GGA level of DFT.

The value obtained for the formation energy from raw total energies is 0.4 eV/f.u.

Cell and atoms, written as CIF:
```
data_TaBeTe2
_chemical_formula_sum 'Ta2 Be2 Te4'
_symmetry_space_group_name_H-M 'C 1 m 1'
_symmetry_Int_Tables_number 8
_symmetry_space_group_name_Hall 'C -2y'
_cell_length_a 8.8759
_cell_length_b 3.5910
_cell_length_c 6.8311
_cell_angle_alpha 90.00
_cell_angle_beta 94.15
_cell_angle_gamma 90.00
loop_
_atom_site_label
_atom_site_fract_x
_atom_site_fract_y
_atom_site_fract_z
Ta1 0.0000 0.0000 0.0000
Be1 0.2144 0.5000 0.0700
Te1 0.0220 0.5000 0.3091
Te2 0.2791 0.0000 0.8347
```


(9)
Computed, not measured: an optimized crystal structure of NaCaSO4 at the PBE-GGA level of DFT.

The value obtained for the formation energy from raw total energies is -11.6 eV/f.u.

Cell and atoms, written as CIF:
```
data_NaCaSO4
_chemical_formula_sum 'Na4 Ca4 S4 O16'
_symmetry_space_group_name_H-M 'I m m a'
_symmetry_Int_Tables_number 74
_symmetry_space_group_name_Hall '-I 2b 2'
_cell_length_a 6.2584
_cell_length_b 6.7658
_cell_length_c 9.1213
_cell_angle_alpha 90.00
_cell_angle_beta 90.00
_cell_angle_gamma 90.00
loop_
_atom_site_label
_atom_site_fract_x
_atom_site_fract_y
_atom_site_fract_z
Na1 0.2500 0.2500 0.2500
Ca1 0.0000 0.0000 0.0000
S1 0.0000 0.2500 0.6338
O1 0.0000 0.0675 0.7268
O2 0.1961 0.2500 0.5362
```


(10)
Computed, not measured: an optimized crystal structure of Cd3MoPd at the PBE-GGA level of DFT.

The calculation puts the energy above the lowest structure with this stoichiometry at 0.000 eV/atom.

Cell and atoms, written as CIF:
```
data_Cd3MoPd
_chemical_formula_sum 'Cd3 Mo1 Pd1'
_symmetry_space_group_name_H-M 'P m -3 m'
_symmetry_Int_Tables_number 221
_symmetry_space_group_name_Hall '-P 4 2 3'
_cell_length_a 5.0966
_cell_length_b 5.0966
_cell_length_c 5.0966
_cell_angle_alpha 90.00
_cell_angle_beta 90.00
_cell_angle_gamma 90.00
loop_
_atom_site_label
_atom_site_fract_x
_atom_site_fract_y
_atom_site_fract_z
Cd1 0.0000 0.0000 0.5000
Mo1 0.5000 0.5000 0.5000
Pd1 0.0000 0.0000 0.0000
```


(11)
Computed, not measured: an optimized crystal structure of Cs12Pd5I3 at the PBE-GGA level of DFT.

The value obtained for the formation energy from raw total energies is -6.6 eV/f.u.

Cell and atoms, written as CIF:
```
data_Cs12Pd5I3
_chemical_formula_sum 'Cs96 Pd40 I24'
_symmetry_space_group_name_H-M 'I a -3 d'
_symmetry_Int_Tables_number 230
_symmetry_space_group_name_Hall '-I 4bd 2c 3'
_cell_length_a 21.3188
_cell_length_b 21.3188
_cell_length_c 21.3188
_cell_angle_alpha 90.00
_cell_angle_beta 90.00
_cell_angle_gamma 90.00
loop_
_atom_site_label
_atom_site_fract_x
_atom_site_fract_y
_atom_site_fract_z
Cs1 0.0286 0.0563 0.6496
Pd1 0.0000 0.0000 0.0000
Pd2 0.0000 0.2500 0.3750
I1 0.0000 0.2500 0.1250
```


(12)
Computed, not measured: an optimized crystal structure of HfBe3Ag at the PBE-GGA level of DFT.

The calculation puts the energy above the lowest structure with this stoichiometry at 0.000 eV/atom.

Cell and atoms, written as CIF:
```
data_HfBe3Ag
_chemical_formula_sum 'Hf1 Be3 Ag1'
_symmetry_space_group_name_H-M 'P m -3 m'
_symmetry_Int_Tables_number 221
_symmetry_space_group_name_Hall '-P 4 2 3'
_cell_length_a 4.2038
_cell_length_b 4.2038
_cell_length_c 4.2038
_cell_angle_alpha 90.00
_cell_angle_beta 90.00
_cell_angle_gamma 90.00
loop_
_atom_site_label
_atom_site_fract_x
_atom_site_fract_y
_atom_site_fract_z
Hf1 0.0000 0.0000 0.0000
Be1 0.0000 0.5000 0.5000
Ag1 0.5000 0.5000 0.5000
```


(13)
Computed, not measured: an optimized crystal structure of BaNa2Ag9 at the PBE-GGA level of DFT.

The final energy is -2.63 eV/atom.

Cell and atoms, written as CIF:
```
data_BaNa2Ag9
_chemical_formula_sum 'Ba3 Na6 Ag27'
_symmetry_space_group_name_H-M 'R -3 m'
_symmetry_Int_Tables_number 166
_symmetry_space_group_name_Hall '-R 3 2"'
_cell_length_a 5.7428
_cell_length_b 5.7428
_cell_length_c 28.3438
_cell_angle_alpha 90.00
_cell_angle_beta 90.00
_cell_angle_gamma 120.00
loop_
_atom_site_label
_atom_site_fract_x
_atom_site_fract_y
_atom_site_fract_z
Ba1 0.0000 0.0000 0.0000
Na1 0.0000 0.0000 0.1466
Ag1 0.0000 0.0000 0.3326
Ag2 0.0000 0.0000 0.5000
Ag3 0.0012 0.5006 0.9154
```


(14)
Computed, not measured: an optimized crystal structure of MgRu2Br at the PBE-GGA level of DFT.

The value obtained for the formation energy from raw total energies is 2.8 eV/f.u. The calculation puts the energy above the lowest structure with this stoichiometry at 0.591 eV/atom.

Cell and atoms, written as CIF:
```
data_MgRu2Br
_chemical_formula_sum 'Mg2 Ru4 Br2'
_symmetry_space_group_name_H-M 'I -4 m 2'
_symmetry_Int_Tables_number 119
_symmetry_space_group_name_Hall 'I -4 -2'
_cell_length_a 4.0816
_cell_length_b 4.0816
_cell_length_c 7.8855
_cell_angle_alpha 90.00
_cell_angle_beta 90.00
_cell_angle_gamma 90.00
loop_
_atom_site_label
_atom_site_fract_x
_atom_site_fract_y
_atom_site_fract_z
Mg1 0.0000 0.0000 0.0000
Ru1 0.0000 0.0000 0.5000
Ru2 0.0000 0.5000 0.7500
Br1 0.0000 0.5000 0.2500
```


(15)
Computed, not measured: an optimized crystal structure of TbHoH at the PBE-GGA level of DFT.

The calculation puts the energy above the lowest structure with this stoichiometry at 0.000 eV/atom.

Cell and atoms, written as CIF:
```
data_TbHoH
_chemical_formula_sum 'Tb1 Ho1 H1'
_symmetry_space_group_name_H-M 'P 3 m 1'
_symmetry_Int_Tables_number 156
_symmetry_space_group_name_Hall 'P 3 -2"'
_cell_length_a 3.6172
_cell_length_b 3.6172
_cell_length_c 5.5748
_cell_angle_alpha 90.00
_cell_angle_beta 90.00
_cell_angle_gamma 120.00
loop_
_atom_site_label
_atom_site_fract_x
_atom_site_fract_y
_atom_site_fract_z
Tb1 0.0000 0.0000 0.0000
Ho1 0.6667 0.3333 0.5123
H1 0.3333 0.6667 0.7535
```


(16)
Computed, not measured: an optimized crystal structure of LiTlSCl2 at the PBE-GGA level of DFT.

The value obtained for the formation energy from raw total energies is -2.7 eV/f.u. The calculation puts the energy above the lowest structure with this stoichiometry at 0.000 eV/atom.

Cell and atoms, written as CIF:
```
data_LiTlSCl2
_chemical_formula_sum 'Li1 Tl1 S1 Cl2'
_symmetry_space_group_name_H-M 'P 4/m m m'
_symmetry_Int_Tables_number 123
_symmetry_space_group_name_Hall '-P 4 2'
_cell_length_a 5.0811
_cell_length_b 5.0811
_cell_length_c 4.7637
_cell_angle_alpha 90.00
_cell_angle_beta 90.00
_cell_angle_gamma 90.00
loop_
_atom_site_label
_atom_site_fract_x
_atom_site_fract_y
_atom_site_fract_z
Li1 0.0000 0.0000 0.0000
Tl1 0.5000 0.5000 0.5000
S1 0.0000 0.0000 0.5000
Cl1 0.0000 0.5000 0.0000
```


(17)
Computed, not measured: an optimized crystal structure of KPt2Br at the PBE-GGA level of DFT.

The value obtained for the formation energy from raw total energies is 3.2 eV/f.u. The calculation puts the energy above the lowest structure with this stoichiometry at 0.982 eV/atom.

Cell and atoms, written as CIF:
```
data_KPt2Br
_chemical_formula_sum 'K4 Pt8 Br4'
_symmetry_space_group_name_H-M 'F m -3 m'
_symmetry_Int_Tables_number 225
_symmetry_space_group_name_Hall '-F 4 2 3'
_cell_length_a 6.9657
_cell_length_b 6.9657
_cell_length_c 6.9657
_cell_angle_alpha 90.00
_cell_angle_beta 90.00
_cell_angle_gamma 90.00
loop_
_atom_site_label
_atom_site_fract_x
_atom_site_fract_y
_atom_site_fract_z
K1 0.0000 0.0000 0.0000
Pt1 0.2500 0.2500 0.2500
Br1 0.0000 0.0000 0.5000
```